Density functional theory data (PBE) for crystalline La4PrSc at its relaxed geometry.

Cell: 6.697 9.161 6.989 Å, 90.00 90.00 103.58°
Element x y z (fractional)
La1 0.902 0.189 0.000
La2 0.098 0.811 0.000
La3 0.098 0.811 0.500
La4 0.321 0.494 0.750
La5 0.679 0.506 0.250
La6 0.902 0.189 0.500
La7 0.414 0.156 0.750
La8 0.586 0.844 0.250
Pr1 0.634 0.834 0.750
Pr2 0.366 0.166 0.250
Sc1 0.168 0.499 0.250
Sc2 0.832 0.501 0.750

Theoretical density: 5.91 g/cm³
Formation energy: 0.11 eV/atom
Electronic total energy: -5.0307 eV per atom